The following is a DFT calculation (PBE+U) of an optimized crystal structure of Ni3B7IO13.

Lattice parameters (Å, degrees): 8.597 8.597 8.597 60.00 60.00 60.00
Positions (direct):
Ni: 0.250 0.250 0.750
Ni: 0.250 0.750 0.250
Ni: 0.250 0.750 0.750
Ni: 0.750 0.250 0.250
Ni: 0.750 0.250 0.750
Ni: 0.750 0.750 0.250
B: 0.000 0.000 0.500
B: 0.000 0.500 0.000
B: 0.000 0.500 0.500
B: 0.170 0.170 0.170
B: 0.170 0.170 0.491
B: 0.170 0.491 0.170
B: 0.491 0.170 0.170
B: 0.500 0.000 0.000
B: 0.500 0.000 0.500
B: 0.500 0.500 0.000
B: 0.670 0.670 0.670
B: 0.670 0.670 0.991
B: 0.670 0.991 0.670
B: 0.991 0.670 0.670
I: 0.000 0.000 0.000
I: 0.500 0.500 0.500
O: 0.047 0.491 0.814
O: 0.047 0.648 0.491
O: 0.047 0.814 0.648
O: 0.148 0.314 0.547
O: 0.148 0.547 0.991
O: 0.148 0.991 0.314
O: 0.250 0.250 0.250
O: 0.314 0.148 0.991
O: 0.314 0.547 0.148
O: 0.314 0.991 0.547
O: 0.491 0.047 0.648
O: 0.491 0.648 0.814
O: 0.491 0.814 0.047
O: 0.547 0.148 0.314
O: 0.547 0.314 0.991
O: 0.547 0.991 0.148
O: 0.648 0.047 0.814
O: 0.648 0.491 0.047
O: 0.648 0.814 0.491
O: 0.750 0.750 0.750
O: 0.814 0.047 0.491
O: 0.814 0.491 0.648
O: 0.814 0.648 0.047
O: 0.991 0.148 0.547
O: 0.991 0.314 0.148
O: 0.991 0.547 0.314

Results
The total energy comes out at -7.040 eV/atom. As for the space-group type: F-43c, No. 219. Its density is 4.34 g/cm3. The total magnetization comes out at 5.9 μB/f.u.